An optimized crystal structure of Pr5AlTe4. Source: Alexandria, functional GGA-PBE.

a b c (Å): 6.3825 7.8394 7.8393
angles (deg): 80.46 65.98 65.98
Positions (direct):
Pr (0.0971, 0.6151, 0.1925)
Te (0.4048, 0.3981, 0.7943)
Pr (0.5014, 0.0000, 0.0000)
Te (0.8028, 0.7943, 0.6019)
Te (0.1990, 0.2057, 0.3981)
Pr (0.7122, 0.1925, 0.3849)
Al (0.0013, 0.0000, 0.0000)
Pr (0.2896, 0.8075, 0.6151)
Te (0.5971, 0.6019, 0.2057)
Pr (0.9048, 0.3849, 0.8075)

Output
Formation energy (no corrections) (eV per formula unit): -12.38
E_tot (eV/atom): -5.26